Record 1
## ErAlTl (PBE-GGA)

Data for a geometry-optimized ErAlTl structure.

Summary:
* crystal system: tetragonal
* distance to the lowest polymorph of the same formula: 0.129 eV/atom
* raw total energy: -22.013 eV/cell
* energy of formation: -0.11 eV/atom
* Fermi-level density of states: 2.9 states/eV/f.u.

Lattice parameters (Å, degrees): 3.4452 3.4452 12.1777 90.00 90.00 90.00
With the nearest neighbours (Å) after each atom.
Space group I4mm (No. 107)
Unique sites:
Er 0.0000 0.0000 0.0000 x2  4 Al 3.08, 4 Tl 3.37, 4 Er 3.45
Al 0.0000 0.0000 0.6550 x2  4 Tl 3.07, 4 Er 3.08
Tl 0.0000 0.0000 0.3090 x2  4 Al 3.07, 4 Er 3.37

=====

Record 2
## Er5Al4Tl (PBE-GGA)

Data for a geometry-optimized Er5Al4Tl structure.

Summary:
* crystal system: tetragonal
* raw total energy: -43.909 eV/cell
* energy of formation: -0.38 eV/atom
* Fermi-level density of states: 4.5 states/eV/f.u.

Lattice parameters (Å, degrees): 3.5770 3.5770 18.4196 90.00 90.00 90.00
With the nearest neighbours (Å) after each atom.
Space group P4/mmm (No. 123)
Unique sites:
Er 0.0000 0.0000 0.0000 x1  8 Al 3.08
Er 0.0000 0.0000 0.1918 x2  8 Al 3.09-3.11
Er 0.0000 0.0000 0.3876 x2  4 Al 3.11, 4 Tl 3.27
Al 0.5000 0.5000 0.0956 x2  8 Er 3.08-3.09
Al 0.5000 0.5000 0.2897 x2  8 Er 3.11
Tl 0.5000 0.5000 0.5000 x1  8 Er 3.27, 4 Tl 3.58

=====

Record 3
## Er8Al3Tl2 (PBE-GGA)

Data for a geometry-optimized Er8Al3Tl2 structure.

Summary:
* crystal system: monoclinic
* raw total energy: -107.871 eV/cell
* energy of formation: -0.11 eV/atom
* Fermi-level density of states: 12.3 states/eV/f.u.

Lattice parameters (Å, degrees): 16.6353 8.0990 5.3258 90.00 90.05 90.00
With the nearest neighbours (Å) after each atom.
Space group C2/m (No. 12)
Unique sites:
Er 0.1010 0.0000 0.9998 x4  4 Al 3.15-3.17, 1 Er 3.36, 2 Tl 3.39-3.40
Er 0.1050 0.2876 0.5003 x8  3 Al 2.91-3.21, 1 Tl 3.10
Er 0.1791 0.5000 0.0010 x4  2 Tl 3.08, 2 Al 3.28, 4 Er 3.40
Al 0.0000 0.0000 0.5000 x2  8 Er 2.91-3.15
Al 0.0000 0.3321 0.0000 x4  1 Al 2.72
Tl 0.2279 0.0000 0.4986 x4  8 Er 3.08-3.40

=====

Record 4
## Er12Al2Tl5 (PBE-GGA)

Data for a geometry-optimized Er12Al2Tl5 structure.

Summary:
* crystal system: monoclinic
* raw total energy: -152.670 eV/cell
* energy of formation: -0.12 eV/atom
* Fermi-level density of states: 18.8 states/eV/f.u.

Lattice parameters (Å, degrees): 17.0841 7.0867 9.0341 90.00 97.34 90.00
With the nearest neighbours (Å) after each atom.
Space group C2/m (No. 12)
Unique sites:
Er 0.0061 0.0000 0.1933 x4  2 Al 3.05
Er 0.0357 0.5000 0.6875 x4  2 Al 2.88, 1 Tl 2.96
Er 0.1513 0.2464 0.0131 x8  4 Tl 3.14-3.38, 2 Er 3.41-3.49
Er 0.1570 0.2565 0.4262 x8  1 Al 2.90, 1 Tl 3.25
Al 0.0000 0.1741 0.5000 x4  1 Al 2.47
Tl 0.0000 0.5000 0.0000 x2  6 Er 2.96-3.14
Tl 0.1979 0.0000 0.7347 x4  7 Er 3.24-3.63, 2 Tl 3.58
Tl 0.2265 0.5000 0.7477 x4  9 Er 3.24-3.46, 2 Tl 3.58

=====

Record 5
## Er2AlTl (PBE-GGA)

Data for a geometry-optimized Er2AlTl structure.

Summary:
* crystal system: trigonal
* raw total energy: -48.292 eV/cell
* energy of formation: -0.22 eV/atom
* Fermi-level density of states: 3.6 states/eV/f.u.

Lattice parameters (Å, degrees): 3.6107 3.6107 28.2692 90.00 90.00 120.00
With the nearest neighbours (Å) after each atom.
Space group R-3m (No. 166, hexagonal axes)
Unique sites:
Er 0.0000 0.0000 0.2451 x6  3 Al 3.04, 3 Tl 3.25
Al 0.0000 0.0000 0.5000 x3  6 Er 3.04
Tl 0.0000 0.0000 0.0000 x3  6 Er 3.25, 6 Tl 3.61

=====

Record 6
## Er5AlTl4 (PBE-GGA)

Data for a geometry-optimized Er5AlTl4 structure.

Summary:
* crystal system: tetragonal
* raw total energy: -39.285 eV/cell
* energy of formation: -0.33 eV/atom
* Fermi-level density of states: 6.3 states/eV/f.u.

Lattice parameters (Å, degrees): 3.6504 3.6504 19.5057 90.00 90.00 90.00
With the nearest neighbours (Å) after each atom.
Space group P4/mmm (No. 123)
Unique sites:
Er 0.0000 0.0000 0.0000 x1  8 Tl 3.27, 4 Er 3.65
Er 0.0000 0.0000 0.2062 x2  8 Tl 3.25-3.27
Er 0.0000 0.0000 0.4103 x2  4 Al 3.12, 4 Tl 3.27
Al 0.5000 0.5000 0.5000 x1  8 Er 3.12
Tl 0.5000 0.5000 0.1033 x2  8 Er 3.27, 4 Tl 3.65
Tl 0.5000 0.5000 0.3075 x2  8 Er 3.25-3.27

=====

Record 7
## Er3AlTl2 (PBE-GGA)

Data for a geometry-optimized Er3AlTl2 structure.

Summary:
* crystal system: orthorhombic
* distance to the lowest polymorph of the same formula: 0.018 eV/atom
* raw total energy: -48.137 eV/cell
* energy of formation: -0.32 eV/atom
* Fermi-level density of states: 3.5 states/eV/f.u.

Lattice parameters (Å, degrees): 5.2972 15.8548 3.6446 90.00 90.00 90.00
With the nearest neighbours (Å) after each atom.
Space group Cmmm (No. 65)
Unique sites:
Er 0.0000 0.0000 0.0000 x2  4 Al 3.21, 4 Tl 3.26
Er 0.0000 0.3415 0.0000 x4  2 Al 3.10, 6 Tl 3.22-3.27
Al 0.0000 0.5000 0.5000 x2  8 Er 3.10-3.21
Tl 0.0000 0.1701 0.5000 x4  8 Er 3.22-3.27

=====

Record 8
## ErAlTl (PBE-GGA)

Data for a geometry-optimized ErAlTl structure.

Summary:
* crystal system: trigonal
* distance to the lowest polymorph of the same formula: 0.043 eV/atom
* raw total energy: -67.586 eV/cell
* energy of formation: -0.20 eV/atom
* Fermi-level density of states: 1.9 states/eV/f.u.

Lattice parameters (Å, degrees): 4.2571 4.2571 30.4385 90.00 90.00 120.00
With the nearest neighbours (Å) after each atom.
Space group R-3m (No. 166, hexagonal axes)
Unique sites:
Er 0.0000 0.0000 0.0652 x6  6 Al 3.09-3.23, 3 Tl 3.25
Al 0.0000 0.0000 0.3372 x6  3 Al 2.47
Tl 0.0000 0.0000 0.1984 x6  3 Tl 3.13, 3 Er 3.25

=====

Record 9
## Er4AlTlZn2 (PBE-GGA)

Data for a geometry-optimized Er4AlTlZn2 structure.

Summary:
* crystal system: trigonal
* raw total energy: -89.097 eV/cell
* energy of formation: -0.35 eV/atom
* Fermi-level density of states: 5.8 states/eV/f.u.

Lattice parameters (Å, degrees): 5.0921 5.0921 25.1154 90.00 90.00 120.00
With the nearest neighbours (Å) after each atom.
Space group R-3m (No. 166, hexagonal axes)
Unique sites:
Er 0.0000 0.0000 0.1215 x6  1 Al 3.05, 4 Zn 3.11-3.28, 3 Tl 3.15
Er 0.0000 0.0000 0.3721 x6  4 Zn 3.01-3.13, 3 Al 3.10, 1 Tl 3.21
Al 0.0000 0.0000 0.0000 x3  8 Er 3.05-3.10
Tl 0.0000 0.0000 0.5000 x3  8 Er 3.15-3.21
Zn 0.0000 0.0000 0.2523 x6  8 Er 3.01-3.28

=====

Record 10
## ErTm3Al3 (PBE-GGA)

Data for a geometry-optimized ErTm3Al3 structure.

Summary:
* crystal system: orthorhombic
* raw total energy: -124.088 eV/cell
* energy of formation: -0.26 eV/atom
* Fermi-level density of states: 3.1 states/eV/f.u.

Lattice parameters (Å, degrees): 10.0750 10.1116 6.8564 90.00 90.00 90.00
With the nearest neighbours (Å) after each atom.
Space group Cmmm (No. 65)
Unique sites:
Er 0.2432 0.0000 0.0000 x4  6 Al 3.06-3.11
Tm 0.0000 0.2439 0.5000 x4  6 Al 3.04-3.10
Tm 0.0000 0.2457 0.0000 x4  6 Al 3.05-3.10
Tm 0.2432 0.0000 0.5000 x4  6 Al 3.05-3.10
Al 0.0000 0.5000 0.2523 x4  6 Tm 3.10, 2 Er 3.11, 2 Al 3.40-3.46
Al 0.2500 0.2500 0.2513 x8  6 Tm 3.04-3.05, 2 Er 3.06

=====

Record 11
## Er3Tm12Al (PBE-GGA)

Data for a geometry-optimized Er3Tm12Al structure.

Summary:
* crystal system: tetragonal
* raw total energy: -71.377 eV/cell
* energy of formation: -0.02 eV/atom
* Fermi-level density of states: 19.7 states/eV/f.u.

Lattice parameters (Å, degrees): 4.8649 4.8649 19.6652 90.00 90.00 90.00
With the nearest neighbours (Å) after each atom.
Space group P4/mmm (No. 123)
Unique sites:
Er 0.0000 0.0000 0.0000 x1  12 Tm 3.44-3.50
Er 0.0000 0.0000 0.2535 x2  12 Tm 3.44-3.51
Tm 0.0000 0.5000 0.1278 x4  8 Tm 3.44-3.52, 4 Er 3.47-3.50
Tm 0.0000 0.5000 0.3821 x4  8 Tm 3.36-3.46, 2 Al 3.36, 2 Er 3.51
Tm 0.5000 0.5000 0.0000 x1  4 Er 3.44, 8 Tm 3.50
Tm 0.5000 0.5000 0.2573 x2  4 Er 3.44, 8 Tm 3.46-3.52
Tm 0.5000 0.5000 0.5000 x1  8 Tm 3.36, 4 Al 3.44
Al 0.0000 0.0000 0.5000 x1  12 Tm 3.36-3.44

=====

Record 12
## ErTm2Al (PBE-GGA)

Data for a geometry-optimized ErTm2Al structure.

Summary:
* crystal system: tetragonal
* distance to the lowest polymorph of the same formula: 0.003 eV/atom
* raw total energy: -18.029 eV/cell
* energy of formation: -0.20 eV/atom
* Fermi-level density of states: 4.0 states/eV/f.u.

Lattice parameters (Å, degrees): 3.4705 3.4705 8.8801 90.00 90.00 90.00
With the nearest neighbours (Å) after each atom.
Space group P4/mmm (No. 123)
Unique sites:
Er 0.0000 0.0000 0.0000 x1  4 Er 3.47, 8 Tm 3.52
Tm 0.5000 0.5000 0.2848 x2  4 Al 3.11, 4 Tm 3.47
Al 0.0000 0.0000 0.5000 x1  8 Tm 3.11, 4 Al 3.47